Entry 1:
Rb2Pm2TeO6, optimized geometry, DFT GGA-PBE; calculated total energy = -6.20 eV per atom
1.0
3.076 -5.298 0.000
3.076 5.298 0.000
-1.910 0.000 6.713
Rb Pm Te O
2 2 1 6
Cartesian
3.076 3.564 0.000
3.076 -3.564 0.000
2.121 1.750 3.356
2.121 -1.750 3.356
-0.955 0.000 3.356
0.009 1.711 4.488
0.947 0.000 2.218
0.009 -1.711 4.488
4.233 1.711 2.225
3.295 0.000 4.495
4.233 -1.711 2.225

---

Entry 2:
MnOs2Au, optimized geometry, DFT GGA-PBE; offset from the most stable computed form = 387 meV/atom; calculated formation energy = 613 meV/atom
1.0
6.254 0.000 0.000
0.000 6.254 0.000
0.000 0.000 6.254
Mn Os Au
4 8 4
Cartesian
0.000 0.000 0.000
0.000 3.127 3.127
3.127 0.000 3.127
3.127 3.127 0.000
0.000 0.000 3.127
0.000 3.127 0.000
1.564 1.564 4.691
1.564 4.691 1.564
3.127 0.000 0.000
3.127 3.127 3.127
4.691 1.564 1.564
4.691 4.691 4.691
1.564 1.564 1.564
1.564 4.691 4.691
4.691 1.564 4.691
4.691 4.691 1.564

---

Entry 3:
PmNd2Cu4, optimized geometry, DFT GGA-PBE; calculated formation energy = -188 meV/atom
1.0
3.789 0.000 0.000
0.000 4.340 0.000
0.000 0.000 18.836
Pm Nd Cu
2 4 8
Cartesian
0.000 0.000 0.000
1.895 2.170 9.418
0.000 2.170 3.454
0.000 2.170 15.382
1.895 0.000 5.964
1.895 0.000 12.872
0.000 0.000 8.204
0.000 0.000 10.632
0.000 2.170 6.879
0.000 2.170 11.957
1.895 0.000 2.539
1.895 0.000 16.297
1.895 2.170 1.214
1.895 2.170 17.622

---

Entry 4:
La3Y4Ho4, optimized geometry, DFT GGA-PBE; calculated formation energy = 135 meV/atom
1.0
-1.815 4.758 10.844
1.815 -4.758 10.844
1.815 4.758 -10.844
La Y Ho
3 4 4
Cartesian
0.000 0.000 0.000
1.815 0.000 8.479
0.000 4.758 2.365
1.815 1.704 -3.229
1.815 1.704 3.229
0.000 3.054 7.615
0.000 3.054 14.073
0.000 0.000 5.609
1.815 3.009 0.000
0.000 1.749 10.844
0.000 0.000 16.079

---

Entry 5:
KZrMo2, optimized geometry, DFT GGA-PBE; offset from the most stable computed form = 847 meV/atom; calculated formation energy = 1402 meV/atom
1.0
3.979 0.000 0.000
0.000 3.979 0.000
0.000 0.000 10.017
K Zr Mo
2 2 4
Cartesian
0.000 0.000 0.000
1.990 1.990 5.009
0.000 0.000 5.009
1.990 1.990 0.000
0.000 1.990 2.504
0.000 1.990 7.513
1.990 0.000 2.504
1.990 0.000 7.513

---

Entry 6:
TbMgSc, optimized geometry, DFT GGA-PBE; offset from the most stable computed form = 0 meV/atom; calculated formation energy = -21 meV/atom
1.0
3.465 0.000 0.000
0.000 3.465 0.000
0.000 0.000 13.213
Tb Mg Sc
2 2 2
Cartesian
0.000 0.000 0.000
1.733 1.733 6.606
0.000 0.000 8.929
1.733 1.733 2.323
0.000 0.000 4.331
1.733 1.733 10.937

---

Entry 7:
NdSmCuAu, optimized geometry, DFT GGA-PBE; offset from the most stable computed form = 0 meV/atom; calculated formation energy = -497 meV/atom
1.0
4.639 0.000 0.000
0.000 3.909 0.000
0.000 0.000 11.000
Nd Sm Cu Au
2 2 2 2
Cartesian
0.000 0.000 0.000
0.000 1.955 5.500
2.320 0.000 7.934
2.320 1.955 2.434
2.320 0.000 4.804
2.320 1.955 10.304
0.000 0.000 3.123
0.000 1.955 8.623

---

Entry 8:
La2Er3Ga4, optimized geometry, DFT GGA-PBE; offset from the most stable computed form = 138 meV/atom; calculated formation energy = -447 meV/atom
1.0
3.452 -8.051 0.000
3.452 8.051 0.000
0.000 0.000 8.574
La Er Ga
4 6 8
Cartesian
3.452 6.322 7.905
3.452 1.729 3.619
3.452 -1.729 4.955
3.452 -6.322 0.668
0.000 0.000 4.287
1.726 3.488 6.430
1.726 -3.488 2.143
3.452 0.000 0.000
5.178 3.488 6.430
5.178 -3.488 2.143
3.452 5.084 4.636
1.726 0.596 6.430
1.726 -0.596 2.143
3.452 2.967 0.349
3.452 -2.967 8.224
5.178 0.596 6.430
5.178 -0.596 2.143
3.452 -5.084 3.938

---

Entry 9:
TlAsIr2, optimized geometry, DFT GGA-PBE; offset from the most stable computed form = 271 meV/atom; calculated formation energy = 515 meV/atom
1.0
4.323 0.000 0.000
0.000 4.323 0.000
0.000 0.000 7.326
Tl As Ir
2 2 4
Cartesian
0.000 0.000 0.000
2.162 2.162 3.663
0.000 0.000 3.663
2.162 2.162 0.000
0.000 2.162 1.832
0.000 2.162 5.495
2.162 0.000 1.832
2.162 0.000 5.495

---

Entry 10:
AlOsS2N, optimized geometry, DFT GGA-PBE; offset from the most stable computed form = 607 meV/atom
1.0
4.647 0.000 0.000
0.000 4.647 0.000
0.000 0.000 3.475
Al Os S N
1 1 2 1
Cartesian
0.000 0.000 0.000
2.323 2.323 1.738
0.000 2.323 0.000
2.323 0.000 0.000
0.000 0.000 1.738

---

Entry 11:
YMgSc2Rh, optimized geometry, DFT GGA-PBE; calculated formation energy = 813 meV/atom
1.0
5.271 0.000 0.000
0.000 5.271 0.000
0.000 0.000 4.882
Y Mg Sc Rh
1 1 2 1
Cartesian
0.000 0.000 0.000
2.636 2.636 2.441
0.000 2.636 0.000
2.636 0.000 0.000
0.000 0.000 2.441

---

Entry 12:
CaSnSbO6, optimized geometry, DFT GGA-PBE; calculated total energy = -6.16 eV per atom
1.0
5.439 0.000 0.000
-2.719 4.710 0.000
0.000 0.000 9.904
Ca Sn Sb O
2 2 2 12
Cartesian
0.000 0.000 0.000
0.000 0.000 4.952
0.000 3.140 2.476
2.719 1.570 7.428
0.000 3.140 7.428
2.719 1.570 2.476
-0.936 1.730 6.330
-1.689 3.035 8.526
0.936 1.730 8.526
-0.754 4.655 6.330
1.966 0.055 1.378
1.030 1.675 3.574
1.689 3.035 6.330
0.754 4.655 8.526
3.473 0.055 3.574
1.784 2.980 1.378
4.409 1.675 1.378
3.655 2.980 3.574

---

These records have ρ values of 5.20; 17.17; 7.37; 6.35; 6.75; 4.78; 9.24; 7.38; 16.10; 6.54; 3.75; 4.93 g cm⁻³, in the order they appear.